A plane-wave DFT calculation with GGA-PBE was carried out for a geometry-optimized Lu2InGaPt4 structure.

a = 4.4533 Å, b = 4.4533 Å, c = 8.9559 Å
α = 90.00°, β = 90.00°, γ = 120.00°
Closest atoms and distances in Å follow each position.
Space group P-3m1 (No. 164)
Inequivalent atoms, fractional coordinates:
Lu: 0.3333 0.6667 0.2445 x2  8 Pt 2.93-3.17
In: 0.0000 0.0000 0.5000 x1  6 Pt 2.72
Ga: 0.0000 0.0000 0.0000 x1  6 Pt 2.68
Pt: 0.3333 0.6667 0.5980 x2  3 In 2.72, 1 Pt 2.85, 3 Lu 2.93
Pt: 0.3333 0.6667 0.9157 x2  3 Ga 2.68, 4 Pt 2.85-2.98, 4 Lu 2.94

Properties
V: 19.2 A^3/atom
raw total energy: -47.17 eV/cell

=====

A plane-wave DFT calculation with GGA-PBE was carried out for a geometry-optimized BaHgTeO structure.

a = 4.2203 Å, b = 15.9669 Å, c = 6.7242 Å
α = 90.00°, β = 90.00°, γ = 90.00°
Closest atoms and distances in Å follow each position.
Space group Cmcm (No. 63)
Inequivalent atoms, fractional coordinates:
Ba: 0.0000 0.1135 0.2500 x4  2 O 2.47
Hg: 0.0000 0.4182 0.2500 x4  2 Te 2.87, 4 O 3.00
Te: 0.0000 0.2038 0.7500 x4  2 Hg 2.87
O: 0.0000 0.0000 0.0000 x4  2 Ba 2.47

Properties
V: 28.3 A^3/atom
raw total energy: -54.40 eV/cell
energy above the most stable polymorph in this dataset: 0.504 eV per atom

=====

A plane-wave DFT calculation with GGA-PBE was carried out for a geometry-optimized NdSc2In3PtAu2 structure.

a = 3.8555 Å, b = 13.3724 Å, c = 7.6574 Å
α = 90.00°, β = 90.00°, γ = 90.00°
Closest atoms and distances in Å follow each position.
Space group Amm2 (No. 38)
Inequivalent atoms, fractional coordinates:
Nd: 0.0000 0.0000 0.0000 x2  4 Au 3.11, 1 Pt 3.13, 6 In 3.24-3.36
Sc: 0.0000 0.1984 0.5993 x4  4 Au 3.00-3.02, 1 Pt 3.03, 6 In 3.27-3.31
In: 0.5000 0.0000 0.6605 x2  2 Pt 2.72, 2 Au 2.95
In: 0.5000 0.1317 0.2753 x4  2 Au 2.78-2.93, 2 Pt 2.81
Pt: 0.0000 0.0000 0.4093 x2  6 In 2.72-2.81, 2 Sc 3.03
Au: 0.5000 0.1733 0.8997 x4  3 In 2.78-2.95, 4 Sc 3.00-3.02

Properties
V: 21.9 A^3/atom
raw total energy: -89.76 eV/cell

=====

A plane-wave DFT calculation with GGA-PBE was carried out for a geometry-optimized CsZrAgSe3 structure.

a = 13.6885 Å, b = 3.9760 Å, c = 12.8517 Å
α = 90.00°, β = 90.00°, γ = 90.00°
Closest atoms and distances in Å follow each position.
Space group Pnma (No. 62)
Inequivalent atoms, fractional coordinates:
Cs: 0.1807 0.2500 0.0329 x4  3 Ag 3.68-3.93, 8 Se 3.68-3.94, 2 Cs 3.98
Zr: 0.0294 0.2500 0.3420 x4  6 Se 2.57-2.88
Ag: 0.1745 0.2500 0.7471 x4  4 Se 2.65-2.74
Se: 0.0119 0.7500 0.1955 x4  1 Ag 2.66, 2 Zr 2.75
Se: 0.0808 0.2500 0.5591 x4  1 Ag 2.74, 3 Zr 2.80-2.88
Se: 0.2163 0.2500 0.3187 x4  1 Zr 2.57, 2 Ag 2.65

Properties
V: 29.1 A^3/atom
raw total energy: -114.60 eV/cell
energy above the most stable polymorph in this dataset: 0.100 eV per atom

=====

A plane-wave DFT calculation with GGA-PBE was carried out for a geometry-optimized PrCuSnSe3 structure.

a = 19.1214 Å, b = 4.1217 Å, c = 8.2195 Å
α = 90.00°, β = 104.17°, γ = 90.00°
Closest atoms and distances in Å follow each position.
Space group C2/m (No. 12)
Inequivalent atoms, fractional coordinates:
Pr: 0.1610 0.0000 0.0854 x4  6 Se 2.93-3.03
Cu: 0.0412 0.5000 0.2064 x4  4 Se 2.44-2.72
Sn: 0.1167 0.0000 0.5644 x4  6 Se 2.99-3.08
Se: 0.0000 0.0000 0.0000 x2  4 Cu 2.66
Se: 0.0000 0.5000 0.5000 x2  2 Cu 2.72, 4 Sn 2.99
Se: 0.1695 0.5000 0.3428 x4  1 Cu 2.44
Se: 0.1759 0.5000 0.8378 x4  3 Pr 2.96-3.03, 2 Sn 3.05

Properties
V: 26.2 A^3/atom
raw total energy: -112.65 eV/cell

=====

A plane-wave DFT calculation with GGA-PBE was carried out for a geometry-optimized Nd2GdCd3Ir2Au structure.

a = 3.9844 Å, b = 13.3177 Å, c = 7.7325 Å
α = 90.00°, β = 90.00°, γ = 90.00°
Closest atoms and distances in Å follow each position.
Space group Amm2 (No. 38)
Inequivalent atoms, fractional coordinates:
Nd: 0.0000 0.2065 0.0000 x4  4 Ir 3.07-3.09, 1 Au 3.19, 6 Cd 3.20-3.44
Gd: 0.0000 0.0000 0.3815 x2  4 Ir 3.03, 1 Au 3.17, 2 Cd 3.21
Cd: 0.5000 0.0000 0.0562 x2  2 Au 2.86, 2 Ir 2.86
Cd: 0.5000 0.1304 0.6620 x4  2 Au 2.83, 2 Ir 2.87-2.93
Ir: 0.5000 0.1639 0.2960 x4  3 Cd 2.86-2.93, 2 Gd 3.03, 4 Nd 3.07-3.09
Au: 0.0000 0.0000 0.7917 x2  6 Cd 2.83-2.86

Properties
V: 22.8 A^3/atom
calculated formation energy: -0.58 eV per atom
raw total energy: -86.13 eV/cell

=====

A plane-wave DFT calculation with GGA-PBE was carried out for a geometry-optimized BaLiFeTc structure.

a = 6.7830 Å, b = 6.7830 Å, c = 6.7830 Å
α = 90.00°, β = 90.00°, γ = 90.00°
Closest atoms and distances in Å follow each position.
Space group F-43m (No. 216)
Inequivalent atoms, fractional coordinates:
Ba: 0.0000 0.0000 0.0000 x4  4 Tc 2.94, 4 Li 2.94
Li: 0.2500 0.2500 0.7500 x4  4 Ba 2.94, 4 Fe 2.94
Fe: 0.0000 0.0000 0.5000 x4  4 Li 2.94, 4 Tc 2.94
Tc: 0.2500 0.2500 0.2500 x4  4 Ba 2.94, 4 Fe 2.94

Properties
V: 19.5 A^3/atom
raw total energy: -75.73 eV/cell
energy above the most stable polymorph in this dataset: 0.000 eV per atom

=====

A plane-wave DFT calculation with GGA-PBE was carried out for a geometry-optimized Al2Cd2In structure.

a = 4.3017 Å, b = 4.3017 Å, c = 12.3473 Å
α = 90.00°, β = 90.00°, γ = 90.00°
Closest atoms and distances in Å follow each position.
Space group I4/mmm (No. 139)
Inequivalent atoms, fractional coordinates:
Al: 0.0000 0.0000 0.1025 x4  1 Al 2.53, 4 Cd 2.82
Cd: 0.0000 0.5000 0.2500 x4  4 Al 2.82, 4 Cd 3.04
In: 0.0000 0.0000 0.5000 x2  8 Al 3.29

Properties
V: 22.8 A^3/atom
raw total energy: -22.37 eV/cell
energy above the most stable polymorph in this dataset: 0.005 eV per atom

=====

A plane-wave DFT calculation with GGA-PBE was carried out for a geometry-optimized Zr2Bi3Mo4C3 structure.

a = 10.0971 Å, b = 5.8538 Å, c = 14.0825 Å
α = 90.00°, β = 100.71°, γ = 90.00°
Closest atoms and distances in Å follow each position.
Space group C2/c (No. 15)
Inequivalent atoms, fractional coordinates:
Zr: 0.0564 0.0830 0.4097 x8  3 C 2.34-2.39
Bi: 0.0000 0.4397 0.2500 x4  4 Mo 3.01-3.25, 2 Zr 3.04, 4 Bi 3.24-3.25
Bi: 0.1773 0.1007 0.7439 x8  3 Mo 2.94-3.22, 2 Zr 3.03-3.08, 4 Bi 3.24-3.26
Mo: 0.0975 0.4039 0.5716 x8  3 C 2.14-2.19
Mo: 0.2364 0.4261 0.9309 x8  3 C 2.12-2.16
C: 0.0891 0.2620 0.0012 x8  4 Mo 2.14-2.19, 2 Zr 2.35-2.39
C: 0.2500 0.2500 0.5000 x4  4 Mo 2.12-2.19, 2 Zr 2.34

Properties
V: 17.0 A^3/atom
raw total energy: -404.46 eV/cell

=====

A plane-wave DFT calculation with GGA-PBE was carried out for a geometry-optimized LuSiHg structure.

a = 6.5385 Å, b = 6.5385 Å, c = 6.5385 Å
α = 90.00°, β = 90.00°, γ = 90.00°
Closest atoms and distances in Å follow each position.
Space group F-43m (No. 216)
Inequivalent atoms, fractional coordinates:
Lu: 0.0000 0.0000 0.0000 x4  4 Si 2.83
Si: 0.2500 0.2500 0.7500 x4  4 Hg 2.83, 4 Lu 2.83
Hg: 0.0000 0.0000 0.5000 x4  4 Si 2.83

Properties
V: 23.3 A^3/atom
raw total energy: -42.90 eV/cell
energy above the most stable polymorph in this dataset: 0.000 eV per atom

=====

A plane-wave DFT calculation with GGA-PBE was carried out for a geometry-optimized Nb2Tl structure.

a = 12.6029 Å, b = 12.6029 Å, c = 12.6029 Å
α = 90.00°, β = 90.00°, γ = 90.00°
Closest atoms and distances in Å follow each position.
Space group Fd-3m (No. 227, origin choice 2)
Inequivalent atoms, fractional coordinates:
Nb: 0.0000 0.0000 0.0000 x16  2 Tl 2.73
Tl: 0.1250 0.1250 0.1250 x8  4 Nb 2.73

Properties
V: 83.4 A^3/atom
raw total energy: -93.33 eV/cell

=====

A plane-wave DFT calculation with GGA-PBE was carried out for a geometry-optimized RbPdPb structure.

a = 7.2627 Å, b = 7.2627 Å, c = 7.2627 Å
α = 90.00°, β = 90.00°, γ = 90.00°
Closest atoms and distances in Å follow each position.
Space group F-43m (No. 216)
Inequivalent atoms, fractional coordinates:
Rb: 0.0000 0.0000 0.0000 x4  4 Pd 3.14
Pd: 0.2500 0.2500 0.7500 x4  4 Rb 3.14, 4 Pb 3.14
Pb: 0.0000 0.0000 0.5000 x4  4 Pd 3.14

Properties
V: 31.9 A^3/atom
raw total energy: -37.30 eV/cell
energy above the most stable polymorph in this dataset: 0.000 eV per atom

=====

A plane-wave DFT calculation with GGA-PBE was carried out for a geometry-optimized Li4SiGeIr2 structure.

a = 4.1622 Å, b = 4.1622 Å, c = 5.8932 Å
α = 90.00°, β = 90.00°, γ = 90.00°
Closest atoms and distances in Å follow each position.
Space group P-4m2 (No. 115)
Inequivalent atoms, fractional coordinates:
Li: 0.0000 0.0000 0.0000 x1  4 Li 2.56, 4 Ir 2.59
Li: 0.0000 0.5000 0.7481 x2  4 Li 2.54-2.56, 2 Si 2.54, 2 Ge 2.56
Li: 0.5000 0.5000 0.5000 x1  4 Ir 2.51, 4 Li 2.54
Si: 0.0000 0.0000 0.5000 x1  4 Ir 2.51, 4 Li 2.54
Ge: 0.5000 0.5000 0.0000 x1  4 Li 2.56, 4 Ir 2.59
Ir: 0.0000 0.5000 0.2612 x2  4 Li 2.51-2.59, 2 Si 2.51, 2 Ge 2.59

Properties
V: 12.8 A^3/atom
raw total energy: -39.29 eV/cell

=====

A plane-wave DFT calculation with GGA-PBE was carried out for a geometry-optimized TbTc structure.

a = 3.3712 Å, b = 3.3712 Å, c = 4.2738 Å
α = 90.00°, β = 90.00°, γ = 120.00°
Closest atoms and distances in Å follow each position.
Space group P-6m2 (No. 187)
Inequivalent atoms, fractional coordinates:
Tb: 0.0000 0.0000 0.0000 x1  6 Tc 2.89
Tc: 0.6667 0.3333 0.5000 x1  6 Tb 2.89

Properties
V: 21.0 A^3/atom
calculated formation energy: 0.50 eV per atom
raw total energy: -13.99 eV/cell

=====

A plane-wave DFT calculation with GGA-PBE was carried out for a geometry-optimized LiLaNbCo structure.

a = 6.6781 Å, b = 6.6781 Å, c = 6.6781 Å
α = 90.00°, β = 90.00°, γ = 90.00°
Closest atoms and distances in Å follow each position.
Space group F-43m (No. 216)
Inequivalent atoms, fractional coordinates:
Li: 0.0000 0.0000 0.0000 x4  4 Nb 2.89, 4 La 2.89
La: 0.2500 0.2500 0.2500 x4  4 Li 2.89, 4 Co 2.89
Nb: 0.2500 0.2500 0.7500 x4  4 Li 2.89, 4 Co 2.89
Co: 0.0000 0.0000 0.5000 x4  4 Nb 2.89, 4 La 2.89

Properties
V: 18.6 A^3/atom
raw total energy: -89.66 eV/cell
energy above the most stable polymorph in this dataset: 0.005 eV per atom

=====

A plane-wave DFT calculation with GGA-PBE was carried out for a geometry-optimized AlZnInTe3Se structure.

a = 5.9769 Å, b = 5.9841 Å, c = 7.4011 Å
α = 66.27°, β = 66.49°, γ = 89.47°
Closest atoms and distances in Å follow each position.
Space group P1 (No. 1)
Inequivalent atoms, fractional coordinates:
Al: 0.0000 0.0000 0.0000 x1  1 Se 2.45, 3 Te 2.65-2.67
Zn: 0.4813 0.5218 0.9969 x1  1 Se 2.54, 3 Te 2.69-2.71
In: 0.2388 0.7619 0.4834 x1  1 Se 2.68, 3 Te 2.83-2.84
Te: 0.3984 0.3576 0.7365 x1  1 Al 2.66, 1 Zn 2.69, 1 In 2.83
Te: 0.6466 0.1616 0.2515 x1  1 Al 2.67, 1 Zn 2.71, 1 In 2.84
Te: 0.8417 0.9271 0.7367 x1  1 Al 2.65, 1 Zn 2.69, 1 In 2.83
Se: 0.0977 0.6287 0.2350 x1  1 Al 2.45, 1 Zn 2.54, 1 In 2.68

Properties
V: 31.2 A^3/atom
raw total energy: -24.05 eV/cell

=====

A plane-wave DFT calculation with GGA-PBE was carried out for a geometry-optimized B2Ir2Pt structure.

a = 3.8161 Å, b = 3.8161 Å, c = 8.2324 Å
α = 90.00°, β = 90.00°, γ = 90.00°
Closest atoms and distances in Å follow each position.
Space group I4/mmm (No. 139)
Inequivalent atoms, fractional coordinates:
B: 0.0000 0.0000 0.1065 x4  1 B 1.75
Ir: 0.0000 0.5000 0.2500 x4  4 B 2.24
Pt: 0.0000 0.0000 0.5000 x2  8 Ir 2.81, 8 B 2.84

Properties
V: 12.0 A^3/atom
raw total energy: -73.52 eV/cell
energy above the most stable polymorph in this dataset: 0.255 eV per atom

=====

A plane-wave DFT calculation with GGA-PBE was carried out for a geometry-optimized GaFeHgOs structure.

a = 6.2797 Å, b = 6.2797 Å, c = 6.2797 Å
α = 90.00°, β = 90.00°, γ = 90.00°
Closest atoms and distances in Å follow each position.
Space group F-43m (No. 216)
Inequivalent atoms, fractional coordinates:
Ga: 0.0000 0.0000 0.0000 x4  4 Fe 2.72, 4 Os 2.72
Fe: 0.2500 0.2500 0.2500 x4  4 Hg 2.72, 4 Ga 2.72
Hg: 0.0000 0.0000 0.5000 x4  4 Os 2.72, 4 Fe 2.72
Os: 0.2500 0.2500 0.7500 x4  4 Hg 2.72, 4 Ga 2.72

Properties
V: 15.5 A^3/atom
raw total energy: -82.84 eV/cell
energy above the most stable polymorph in this dataset: 0.000 eV per atom

=====

A plane-wave DFT calculation with GGA-PBE was carried out for a geometry-optimized TaNbAsC structure.

a = 3.3385 Å, b = 3.3385 Å, c = 12.0001 Å
α = 90.00°, β = 90.00°, γ = 120.00°
Closest atoms and distances in Å follow each position.
Space group P6_3mc (No. 186)
Inequivalent atoms, fractional coordinates:
Ta: 0.3333 0.6667 0.0000 x2  3 C 2.22
Nb: 0.3333 0.6667 0.6885 x2  3 C 2.25
As: 0.3333 0.6667 0.3449 x2  3 Ta 2.68, 3 Nb 2.69
C: 0.0000 0.0000 0.0916 x2  3 Ta 2.22, 3 Nb 2.25

Properties
V: 14.5 A^3/atom
raw total energy: -76.50 eV/cell
energy above the most stable polymorph in this dataset: 0.000 eV per atom

=====

A plane-wave DFT calculation with GGA-PBE was carried out for a geometry-optimized AgIrPbSe3 structure.

a = 3.8975 Å, b = 14.7398 Å, c = 10.1941 Å
α = 90.00°, β = 90.00°, γ = 90.00°
Closest atoms and distances in Å follow each position.
Space group Cmcm (No. 63)
Inequivalent atoms, fractional coordinates:
Ag: 0.0000 0.1516 0.2500 x4  2 Se 2.49
Ir: 0.0000 0.5000 0.0000 x4  6 Se 2.52-2.63
Pb: 0.0000 0.1903 0.7500 x4  4 Se 2.89-2.95, 2 Ag 3.04
Se: 0.0000 0.1084 0.0137 x8  1 Ag 2.49, 2 Ir 2.52
Se: 0.0000 0.4546 0.2500 x4  2 Ir 2.63, 2 Pb 2.89

Properties
V: 24.4 A^3/atom
raw total energy: -107.74 eV/cell